(1)
ZrNb2As | PBE | optimized geometry

Computed properties:
VASP energy = -33.4 eV per cell
D(E_F) = 5.1 states/eV/f.u.
excess energy over the best structure of this formula in the dataset = 0.5749 eV per atom

abc: 4.6728 4.6728 4.6728
angles: 60.00 60.00 60.00
With the nearest neighbours (Å) after each atom.
Fractional positions:
Zr 0.0000 0.0000 0.0000  8 Nb 2.86
Nb 0.2500 0.2500 0.2500  4 Zr 2.86, 4 As 2.86
Nb 0.7500 0.7500 0.7500  4 As 2.86, 4 Zr 2.86
As 0.5000 0.5000 0.5000  8 Nb 2.86



(2)
ZrNb2As | PBE | optimized geometry

Computed properties:
VASP energy = -66.1 eV per cell
D(E_F) = 5.4 states/eV/f.u.
excess energy over the best structure of this formula in the dataset = 0.6554 eV per atom

abc: 6.1858 6.1858 6.1858
angles: 100.43 100.43 129.64
With the nearest neighbours (Å) after each atom.
Fractional positions:
Zr 0.0000 0.0000 0.0000  2 As 2.63
Zr 0.7500 0.2500 0.5000  2 As 2.63
Nb 0.1873 0.6250 0.0623  2 As 2.56, 2 Nb 2.81
Nb 0.3750 0.4373 0.5623  2 As 2.56, 2 Nb 2.81
Nb 0.5627 0.1250 0.9377  2 As 2.56, 2 Nb 2.81
Nb 0.8750 0.8127 0.4377  2 As 2.56, 2 Nb 2.81
As 0.2500 0.7500 0.5000  4 Nb 2.56, 2 Zr 2.63
As 0.5000 0.5000 0.0000  4 Nb 2.56, 2 Zr 2.63



(3)
Nd3As | PBE | optimized geometry

Computed properties:
VASP energy = -20.6 eV per cell
D(E_F) = 4.0 states/eV/f.u.
excess energy over the best structure of this formula in the dataset = 0.1662 eV per atom

abc: 4.1311 4.1347 7.8374
angles: 90.00 90.00 90.00
With the nearest neighbours (Å) after each atom.
Fractional positions:
Nd 0.0000 0.0000 0.0000  6 Nd 3.44-3.74, 2 As 3.45
Nd 0.0000 0.5000 0.3505  4 As 2.92
Nd 0.5000 0.5000 0.7018  2 As 3.43, 6 Nd 3.44-3.74
As 0.5000 0.0000 0.3522  4 Nd 2.92



(4)
Nd6As5 | PBE | optimized geometry

Computed properties:
VASP energy = -66.8 eV per cell
D(E_F) = 5.5 states/eV/f.u.

abc: 7.3587 7.3587 7.3718
angles: 99.60 99.60 119.95
With the nearest neighbours (Å) after each atom.
Fractional positions:
Nd 0.0710 0.4151 0.7461  5 As 2.93-3.03
Nd 0.2415 0.2415 0.2577  5 As 2.91-3.00
Nd 0.4151 0.0710 0.7461  5 As 2.93-3.03
Nd 0.5849 0.9290 0.2539  5 As 2.93-3.03
Nd 0.7585 0.7585 0.7423  5 As 2.91-3.00
Nd 0.9290 0.5849 0.2539  5 As 2.93-3.03
As 0.0000 0.0000 0.5000  6 Nd 2.91-3.02
As 0.1664 0.8336 0.0000  6 Nd 2.99-3.00
As 0.3340 0.6660 0.5000  6 Nd 2.93-3.03
As 0.6660 0.3340 0.5000  6 Nd 2.93-3.03
As 0.8336 0.1664 0.0000  6 Nd 2.99-3.00



(5)
NdAs3 | PBE | optimized geometry

Computed properties:
VASP energy = -20.8 eV per cell
D(E_F) = 2.5 states/eV/f.u.

abc: 5.8332 5.8332 5.8332
angles: 137.85 137.85 61.14
With the nearest neighbours (Å) after each atom.
Fractional positions:
Nd 0.0000 0.0000 0.0000  12 As 2.97-3.27
As 0.2500 0.7500 0.5000  8 As 2.97-3.27, 4 Nd 3.27
As 0.5000 0.5000 0.0000  4 Nd 2.97, 8 As 3.27
As 0.7500 0.2500 0.5000  8 As 2.97-3.27, 4 Nd 3.27



(6)
Nd3As | PBE | optimized geometry

Computed properties:
VASP energy = -21.3 eV per cell
D(E_F) = 2.1 states/eV/f.u.
excess energy over the best structure of this formula in the dataset = 0.0000 eV per atom

abc: 6.1141 6.1141 6.1141
angles: 142.70 76.98 115.46
With the nearest neighbours (Å) after each atom.
Fractional positions:
Nd 0.0000 0.0000 0.0000  2 As 2.93
Nd 0.2414 0.4336 0.8078  3 As 3.08-3.43, 1 Nd 3.38
Nd 0.6258 0.4336 0.1922  3 As 3.08-3.43, 1 Nd 3.38
As 0.6658 0.1658 0.5000  6 Nd 2.93-3.08



(7)
NdAs3 | PBE | optimized geometry

Computed properties:
VASP energy = -21.0 eV per cell
D(E_F) = 0.3 states/eV/f.u.

abc: 4.0224 5.8588 4.3579
angles: 90.00 90.00 90.00
With the nearest neighbours (Å) after each atom.
Fractional positions:
Nd 0.0000 0.0000 0.0000  6 As 2.90-3.03
As 0.0000 0.5000 0.8941  2 As 2.61
As 0.5000 0.0000 0.4787  4 Nd 2.90-3.03, 2 As 3.06
As 0.5000 0.5000 0.2754  2 As 2.61



(8)
NdNiAs2 | PBE | optimized geometry

Computed properties:
VASP energy = -20.4 eV per cell
D(E_F) = 2.6 states/eV/f.u.

abc: 8.1597 8.1597 8.1597
angles: 26.68 26.68 26.68
With the nearest neighbours (Å) after each atom.
Fractional positions:
Nd 0.0000 0.0000 0.0000  2 As 2.95
Ni 0.5000 0.5000 0.5000  6 As 2.39
As 0.1249 0.1249 0.1249  3 Ni 2.39
As 0.8751 0.8751 0.8751  3 Ni 2.39